(1)
Density functional theory data (PBE-GGA) for a relaxed structure of TbCoCuGe2.

Cell: 4.0607 4.0607 10.0360 Å, 90.00 90.00 90.00°
With the nearest neighbours (Å) after each atom.
Space group I-4m2 (No. 119)
Unique sites:
Tb: 0.0000 0.0000 0.0000 (multiplicity 2)  8 Ge 3.14, 4 Co 3.23, 4 Cu 3.23
Co: 0.0000 0.5000 0.2500 (multiplicity 2)  4 Ge 2.38
Cu: 0.0000 0.5000 0.7500 (multiplicity 2)  4 Ge 2.38
Ge: 0.0000 0.0000 0.3744 (multiplicity 4)  2 Co 2.38, 2 Cu 2.38, 1 Ge 2.52


(2)
Density functional theory data (PBE-GGA) for a relaxed structure of TmCoCuGe2.

Cell: 3.9898 3.9898 10.1979 Å, 90.00 90.00 90.00°
With the nearest neighbours (Å) after each atom.
Space group I-4m2 (No. 119)
Unique sites:
Tm: 0.0000 0.0000 0.0000 (multiplicity 2)  8 Ge 3.08, 4 Co 3.24, 4 Cu 3.24
Co: 0.0000 0.5000 0.2500 (multiplicity 2)  4 Ge 2.39
Cu: 0.0000 0.5000 0.7500 (multiplicity 2)  4 Ge 2.39
Ge: 0.0000 0.0000 0.3783 (multiplicity 4)  2 Co 2.39, 2 Cu 2.39, 1 Ge 2.48


(3)
Density functional theory data (PBE-GGA) for a relaxed structure of CoCuGeW.

Cell: 5.9704 5.9704 5.9704 Å, 90.00 90.00 90.00°
With the nearest neighbours (Å) after each atom.
Space group F-43m (No. 216)
Unique sites:
Co: 0.0000 0.0000 0.0000 (multiplicity 4)  4 Ge 2.59, 4 Cu 2.59
Cu: 0.2500 0.2500 0.2500 (multiplicity 4)  4 W 2.59, 4 Co 2.59
Ge: 0.2500 0.2500 0.7500 (multiplicity 4)  4 W 2.59, 4 Co 2.59
W: 0.0000 0.0000 0.5000 (multiplicity 4)  4 Ge 2.59, 4 Cu 2.59

As for the polymorph energy (0 for the lowest one): 40.3 meV per atom.


(4)
Density functional theory data (PBE-GGA) for a relaxed structure of CoCuGeW.

Cell: 5.9821 5.9821 5.9821 Å, 90.00 90.00 90.00°
With the nearest neighbours (Å) after each atom.
Space group F-43m (No. 216)
Unique sites:
Co: 0.0000 0.0000 0.0000 (multiplicity 4)  4 Cu 2.59, 4 W 2.59
Cu: 0.2500 0.2500 0.7500 (multiplicity 4)  4 Ge 2.59, 4 Co 2.59
Ge: 0.0000 0.0000 0.5000 (multiplicity 4)  4 W 2.59, 4 Cu 2.59
W: 0.2500 0.2500 0.2500 (multiplicity 4)  4 Ge 2.59, 4 Co 2.59

As for the polymorph energy (0 for the lowest one): 0.0 meV per atom.


Calculated size of the total moment (μB/f.u.), listed in the same order as above: 0.7; 0.8; 1.1; 0.4
Calculated calculated total energy (eV per atom), listed in the same order as above: -5.45; -5.38; -6.77; -6.81